[1]
An optimized crystal structure of Fe2SiO4. Source: Alexandria, functional PBE with a Hubbard U.

abc: 5.8935 5.8935 5.8935
angles: 60.00 60.00 60.00
With the nearest neighbours (Å) after each atom.
Fractional positions:
Fe: 0.0000 0.0000 0.0000  6 O 2.16
Fe: 0.0000 0.0000 0.5000  6 O 2.16
Fe: 0.0000 0.5000 0.0000  6 O 2.16
Fe: 0.5000 0.0000 0.0000  6 O 2.16
Si: 0.3750 0.3750 0.3750  4 O 1.67
Si: 0.6250 0.6250 0.6250  4 O 1.67
O: 0.2592 0.2592 0.2592  1 Si 1.67
O: 0.2592 0.2592 0.7223  1 Si 1.67
O: 0.2592 0.7223 0.2592  1 Si 1.67
O: 0.2777 0.7408 0.7408  1 Si 1.67
O: 0.7223 0.2592 0.2592  1 Si 1.67
O: 0.7408 0.2777 0.7408  1 Si 1.67
O: 0.7408 0.7408 0.2777  1 Si 1.67
O: 0.7408 0.7408 0.7408  1 Si 1.67

Output
Crystal system: cubic
Relative energy among the computed polymorphs (meV per atom): 38

=====

[2]
An optimized crystal structure of Fe3Si2O8. Source: Alexandria, functional PBE with a Hubbard U.

abc: 5.8831 4.8885 10.3266
angles: 90.00 91.04 90.00
With the nearest neighbours (Å) after each atom.
Fractional positions:
Fe: 0.0000 0.0000 0.0000  6 O 2.10-2.22
Fe: 0.0000 0.5000 0.5000  6 O 2.10-2.22
Fe: 0.2595 0.0031 0.7272  6 O 1.98-2.20
Fe: 0.2595 0.4969 0.2272  6 O 1.98-2.20
Fe: 0.7405 0.5031 0.7728  6 O 1.98-2.20
Fe: 0.7405 0.9969 0.2728  6 O 1.98-2.20
Si: 0.2492 0.5561 0.9038  4 O 1.63-1.69
Si: 0.2492 0.9439 0.4038  4 O 1.63-1.69
Si: 0.7508 0.0561 0.5962  4 O 1.63-1.69
Si: 0.7508 0.4439 0.0962  4 O 1.63-1.69
O: 0.0314 0.7233 0.8302  1 Si 1.69
O: 0.0314 0.7767 0.3302  1 Si 1.69
O: 0.2350 0.2245 0.8921  1 Si 1.63
O: 0.2350 0.2755 0.3921  1 Si 1.63
O: 0.2405 0.6665 0.0534  1 Si 1.64
O: 0.2405 0.8335 0.5534  1 Si 1.64
O: 0.4556 0.6952 0.8194  1 Si 1.65
O: 0.4556 0.8048 0.3194  1 Si 1.65
O: 0.5444 0.1952 0.6806  1 Si 1.65
O: 0.5444 0.3048 0.1806  1 Si 1.65
O: 0.7595 0.1665 0.4466  1 Si 1.64
O: 0.7595 0.3335 0.9466  1 Si 1.64
O: 0.7650 0.7245 0.6079  1 Si 1.63
O: 0.7650 0.7755 0.1079  1 Si 1.63
O: 0.9686 0.2233 0.6698  1 Si 1.69
O: 0.9686 0.2767 0.1698  1 Si 1.69

Output
Crystal system: monoclinic
Relative energy among the computed polymorphs (meV per atom): 0

=====

[3]
An optimized crystal structure of Fe2SiO. Source: Alexandria, functional PBE with a Hubbard U.

abc: 4.1378 4.1378 4.1378
angles: 60.00 60.00 60.00
With the nearest neighbours (Å) after each atom.
Fractional positions:
Fe: 0.2500 0.2500 0.2500  4 O 2.53, 4 Si 2.53
Fe: 0.7500 0.7500 0.7500  4 O 2.53, 4 Si 2.53
Si: 0.0000 0.0000 0.0000  8 Fe 2.53
O: 0.5000 0.5000 0.5000  8 Fe 2.53

Output
Crystal system: cubic
Relative energy among the computed polymorphs (meV per atom): 591

=====

no.,ρ (g/cm3)
1,4.68
2,3.93
3,5.16